Below is Gd2InHg at its PBEsol-relaxed geometry, with properties calculated at the SCAN level.

Unit cell a=5.246 b=5.246 c=5.246 alpha=60.00 beta=60.00 gamma=60.00
Fractional coordinates of all 4 atoms:
Gd 0.250 0.250 0.250
Gd 0.750 0.750 0.750
In 0.000 0.000 0.000
Hg 0.500 0.500 0.500

Properties
The value obtained for the density is 10.24 Mg/m³. The energy relative to the elements comes out at -247 kJ/mol of formula units. The volume comes out at 25.53 A^3/atom.